A plane-wave DFT calculation with GGA-PBE was carried out for Ce2SmP3 after structural relaxation.

CIF file:
```
data_Ce2SmP3
_cell_length_a 4.0952
_cell_length_b 5.7898
_cell_length_c 12.2809
_cell_angle_alpha 90.00
_cell_angle_beta 90.00
_cell_angle_gamma 90.00
_symmetry_space_group_name_H-M 'I m m m'
_symmetry_Int_Tables_number 71
_symmetry_space_group_name_Hall '-I 2 2'
loop_
_atom_site_label
_atom_site_fract_x
_atom_site_fract_y
_atom_site_fract_z
Ce1 0.0000 0.0000 0.1664
Sm1 0.0000 0.0000 0.5000
P1 0.0000 0.5000 0.1689
P2 0.0000 0.5000 0.5000
```

Summary:
Crystal system = orthorhombic
Total DFT energy (no corrections) = -42.0 eV/f.u.
Density = 5.97 g/cm³
Energy of formation from the pure elements = -147 kJ/mol of atoms



A plane-wave DFT calculation with GGA-PBE was carried out for Ho2In8Ru after structural relaxation.

CIF file:
```
data_Ho2In8Ru
_cell_length_a 4.6271
_cell_length_b 4.6271
_cell_length_c 12.2302
_cell_angle_alpha 90.00
_cell_angle_beta 90.00
_cell_angle_gamma 90.00
_symmetry_space_group_name_H-M 'P 4/m m m'
_symmetry_Int_Tables_number 123
_symmetry_space_group_name_Hall '-P 4 2'
loop_
_atom_site_label
_atom_site_fract_x
_atom_site_fract_y
_atom_site_fract_z
Ho1 0.0000 0.0000 0.1919
In1 0.0000 0.5000 0.0000
In2 0.0000 0.5000 0.3775
In3 0.5000 0.5000 0.1904
Ru1 0.0000 0.0000 0.5000
```

Summary:
Crystal system = tetragonal
Total DFT energy (no corrections) = -43.8 eV/f.u.
Density = 8.56 g/cm³
Energy of formation from the pure elements = -30 kJ/mol of atoms



A plane-wave DFT calculation with GGA-PBE was carried out for Ca3TaMn after structural relaxation.

CIF file:
```
data_Ca3TaMn
_cell_length_a 5.6135
_cell_length_b 5.6135
_cell_length_c 5.6135
_cell_angle_alpha 90.00
_cell_angle_beta 90.00
_cell_angle_gamma 90.00
_symmetry_space_group_name_H-M 'P m -3 m'
_symmetry_Int_Tables_number 221
_symmetry_space_group_name_Hall '-P 4 2 3'
loop_
_atom_site_label
_atom_site_fract_x
_atom_site_fract_y
_atom_site_fract_z
Ca1 0.0000 0.0000 0.5000
Ta1 0.0000 0.0000 0.0000
Mn1 0.5000 0.5000 0.5000
```

Summary:
Crystal system = cubic
Total DFT energy (no corrections) = -20.3 eV/f.u.
Density = 3.34 g/cm³
Energy of formation from the pure elements = 130 kJ/mol of atoms